Entry 1:
Here is a relaxed LaHg2Ru crystal from the Alexandria database. Energies are from PBE.

```
LaHg2Ru
1.0
-3.6510 1.4155 -6.3536
-1.1402 -1.7089 -7.1751
-4.7020 -2.3903 -5.2801
Hg La Ru
2 1 1
Direct
0.0130 0.0130 0.0130 Hg
0.2598 0.2598 0.2598 Hg
0.4773 0.4773 0.4773 La
0.7500 0.7500 0.7500 Ru
```

Summary:
Spin magnetization = 0.000 μB per cell
SG = No. 160
E_tot = -3.624 eV/atom
DOS at the Fermi energy = 0.634 states/eV per atom

Entry 2:
Here is a relaxed La6Hg2Ru crystal from the Alexandria database. Energies are from PBE.

```
La6Hg2Ru
1.0
-1.4094 -1.4844 7.0473
7.4335 -0.3932 1.4038
0.1874 10.6001 1.9767
La Hg Ru
12 4 2
Direct
0.8954 0.9943 0.2500 La
0.8016 0.6933 0.5494 La
0.8016 0.7038 0.9523 La
0.6984 0.2038 0.5477 La
0.6984 0.1933 0.9506 La
0.6046 0.4943 0.2500 La
0.1046 0.0057 0.7500 La
0.1984 0.3067 0.4506 La
0.1984 0.2962 0.0477 La
0.3016 0.7962 0.4523 La
0.3016 0.8067 0.0494 La
0.3954 0.5057 0.7500 La
0.9660 0.4211 0.7596 Hg
0.5340 0.9211 0.7404 Hg
0.4660 0.0789 0.2596 Hg
0.0340 0.5789 0.2404 Hg
0.5000 0.5000 0.0000 Ru
0.0000 0.0000 0.5000 Ru
```

Summary:
Relative energy among the computed polymorphs = 0.810 kcal/mol of atoms
Spin magnetization = 0.000 μB per cell
SG = No. 14
DOS at the Fermi energy = 1.022 states/eV per atom

Entry 3:
Here is a relaxed LaHgRu2 crystal from the Alexandria database. Energies are from PBE.

```
LaHgRu2
1.0
-0.6301 4.8494 -2.5565
-4.0580 -1.8738 3.2878
0.3250 1.5515 2.6363
Hg La Ru
1 1 2
Direct
0.0000 0.5000 0.5000 Hg
0.5000 0.5000 0.0000 La
0.0000 0.0000 0.0000 Ru
0.5000 0.0000 0.5000 Ru
```

Summary:
Spin magnetization = 0.000 μB per cell
SG = No. 12
E_tot = -5.614 eV/atom
DOS at the Fermi energy = 1.040 states/eV per atom

Entry 4:
Here is a relaxed La4HgRu crystal from the Alexandria database. Energies are from PBE.

```
La4HgRu
1.0
-5.2709 0.3720 3.3542
-5.5454 -0.8163 -2.7845
-3.3490 -5.1609 1.1488
La Hg Ru
4 1 1
Direct
0.8716 0.3761 0.3761 La
0.3761 0.3761 0.8716 La
0.3761 0.8716 0.3761 La
0.3761 0.3761 0.3761 La
0.0000 0.0000 0.0000 Hg
0.7500 0.7500 0.7500 Ru
```

Summary:
Relative energy among the computed polymorphs = 22.232 kcal/mol of atoms
Spin magnetization = 1.165 μB per cell
SG = No. 216
DOS at the Fermi energy = 1.850 states/eV per atom

Entry 5:
Here is a relaxed La4HgRu crystal from the Alexandria database. Energies are from PBE.

```
La4HgRu
1.0
7.0181 -0.2290 0.0000
-1.4416 7.7697 0.0000
-2.7882 -3.7704 7.5560
La Hg Ru
8 2 2
Direct
0.2864 0.9444 0.5751 La
0.0381 0.8115 0.0831 La
0.2113 0.3693 0.4249 La
0.4549 0.7284 0.9169 La
0.7136 0.0556 0.4249 La
0.7887 0.6307 0.5751 La
0.9619 0.1885 0.9169 La
0.5451 0.2716 0.0831 La
0.3682 0.6182 0.2364 Hg
0.6318 0.3818 0.7636 Hg
0.8375 0.0875 0.1750 Ru
0.1625 0.9125 0.8250 Ru
```

Summary:
Relative energy among the computed polymorphs = 2.157 kcal/mol of atoms
Spin magnetization = 0.000 μB per cell
SG = No. 15
DOS at the Fermi energy = 1.172 states/eV per atom

Entry 6:
Here is a relaxed La3HgRu crystal from the Alexandria database. Energies are from PBE.

```
La3HgRu
1.0
6.2923 0.0000 0.0000
0.0000 6.2923 0.0000
3.1462 3.1462 8.8598
Ru Hg La
2 2 6
Direct
0.0000 0.0000 0.0000 Ru
0.2500 0.7500 0.5000 Ru
0.6449 0.1449 0.7102 Hg
0.8551 0.3551 0.2898 Hg
0.1432 0.8889 0.2222 La
0.1111 0.8568 0.7778 La
0.1111 0.3655 0.7778 La
0.6345 0.8889 0.2222 La
0.2780 0.2780 0.4440 La
0.7220 0.7220 0.5560 La
```

Summary:
Relative energy among the computed polymorphs = 11.286 kcal/mol of atoms
Spin magnetization = 0.000 μB per cell
SG = No. 119
DOS at the Fermi energy = 0.526 states/eV per atom

Entry 7:
Here is a relaxed La3HgRu crystal from the Alexandria database. Energies are from PBE.

```
La3HgRu
1.0
5.8762 0.0000 0.0000
0.0000 5.8762 0.0000
2.9381 2.9381 11.5617
Ru Hg La
2 2 6
Direct
0.6980 0.1980 0.6040 Ru
0.8020 0.3020 0.3960 Ru
0.0000 0.0000 0.0000 Hg
0.2500 0.7500 0.5000 Hg
0.6349 0.8730 0.2539 La
0.1270 0.3651 0.7461 La
0.1270 0.8889 0.7461 La
0.1111 0.8730 0.2539 La
0.2879 0.2879 0.4242 La
0.7121 0.7121 0.5758 La
```

Summary:
Relative energy among the computed polymorphs = 18.351 kcal/mol of atoms
Spin magnetization = 0.000 μB per cell
SG = No. 119
DOS at the Fermi energy = 1.852 states/eV per atom

Entry 8:
Here is a relaxed La5Hg2Ru2 crystal from the Alexandria database. Energies are from PBE.

```
La5Hg2Ru2
1.0
7.9619 0.0000 0.0000
0.0000 6.9826 -3.5895
0.0000 0.2794 9.1298
La Hg Ru
10 4 4
Direct
0.0000 0.0000 0.0000 La
0.5000 0.5000 0.0000 La
0.8322 0.7845 0.2342 La
0.1678 0.4496 0.2342 La
0.3322 0.9496 0.2342 La
0.6678 0.2845 0.2342 La
0.1678 0.2155 0.7658 La
0.8322 0.5504 0.7658 La
0.6678 0.0504 0.7658 La
0.3322 0.7155 0.7658 La
0.0000 0.2160 0.4321 Hg
0.5000 0.7160 0.4321 Hg
0.0000 0.7840 0.5679 Hg
0.5000 0.2840 0.5679 Hg
0.6387 0.8610 0.0000 Ru
0.3613 0.1390 0.0000 Ru
0.1387 0.6390 0.0000 Ru
0.8613 0.3610 0.0000 Ru
```

Summary:
Spin magnetization = 0.000 μB per cell
SG = No. 64
E_tot = -5.249 eV/atom
DOS at the Fermi energy = 0.835 states/eV per atom

Entry 9:
Here is a relaxed La3HgRu crystal from the Alexandria database. Energies are from PBE.

```
La3HgRu
1.0
4.6463 -2.6825 0.0000
0.0000 5.3650 0.0000
0.0000 0.0000 11.4574
Ru Hg La
2 2 6
Direct
0.0000 0.0000 0.0000 Ru
0.0000 0.0000 0.5000 Ru
0.3333 0.6667 0.7500 Hg
0.6667 0.3333 0.2500 Hg
0.0000 0.0000 0.2500 La
0.0000 0.0000 0.7500 La
0.3333 0.6667 0.0694 La
0.3333 0.6667 0.4306 La
0.6667 0.3333 0.5694 La
0.6667 0.3333 0.9306 La
```

Summary:
Relative energy among the computed polymorphs = 2.395 kcal/mol of atoms
Spin magnetization = 0.000 μB per cell
SG = No. 194
DOS at the Fermi energy = 0.925 states/eV per atom

Entry 10:
Here is a relaxed La5HgRu crystal from the Alexandria database. Energies are from PBE.

```
La5HgRu
1.0
-1.0153 -2.0623 5.9012
5.5465 0.1697 3.0522
-0.5540 10.1831 6.7018
La Hg Ru
10 2 2
Direct
0.9488 0.5772 0.1331 La
0.2050 0.5573 0.5535 La
0.5772 0.9488 0.6331 La
0.0158 0.9842 0.2500 La
0.4427 0.7950 0.9465 La
0.5573 0.2050 0.0535 La
0.9842 0.0158 0.7500 La
0.4228 0.0512 0.3669 La
0.7950 0.4427 0.4465 La
0.0512 0.4228 0.8669 La
0.4407 0.5593 0.2500 Hg
0.5593 0.4407 0.7500 Hg
0.0000 0.0000 0.0000 Ru
0.0000 0.0000 0.5000 Ru
```

Summary:
Relative energy among the computed polymorphs = 0.000 kcal/mol of atoms
Spin magnetization = 0.000 μB per cell
SG = No. 15
DOS at the Fermi energy = 1.158 states/eV per atom

Entry 11:
Here is a relaxed La3HgRu crystal from the Alexandria database. Energies are from PBE.

```
La3HgRu
1.0
-3.2270 3.5691 6.0685
2.2652 -7.3815 0.6036
5.3050 1.7761 1.7849
Ru Hg La
2 2 6
Direct
0.4739 0.8219 0.3414 Ru
0.4739 0.8219 0.8414 Ru
0.8074 0.4886 0.0916 Hg
0.1405 0.1551 0.5916 Hg
0.7239 0.1718 0.5914 La
0.1239 0.7218 0.5919 La
0.8240 0.9219 0.0910 La
0.5740 0.5719 0.5912 La
0.3739 0.0718 0.0917 La
0.2240 0.4719 0.0916 La
```

Summary:
Relative energy among the computed polymorphs = 0.000 kcal/mol of atoms
Spin magnetization = 0.000 μB per cell
SG = No. 2
DOS at the Fermi energy = 1.471 states/eV per atom

Entry 12:
Here is a relaxed La6HgRu2 crystal from the Alexandria database. Energies are from PBE.

```
La6HgRu2
1.0
6.3539 -0.0201 1.5073
1.3860 8.7886 3.8567
-0.0273 -0.0107 9.6971
La Hg Ru
12 2 4
Direct
0.3291 0.6750 0.5397 La
0.1709 0.4603 0.3250 La
0.6709 0.3250 0.4603 La
0.8291 0.5397 0.6750 La
0.7851 0.9445 0.4442 La
0.7149 0.5558 0.0555 La
0.2149 0.0555 0.5558 La
0.2851 0.4442 0.9445 La
0.1702 0.8247 0.9612 La
0.3298 0.0388 0.1753 La
0.8298 0.1753 0.0388 La
0.6702 0.9612 0.8247 La
0.2500 0.2509 0.7491 Hg
0.7500 0.7491 0.2509 Hg
0.9998 0.7437 0.7568 Ru
0.5002 0.2432 0.2563 Ru
0.0002 0.2563 0.2432 Ru
0.4998 0.7568 0.7437 Ru
```

Summary:
Relative energy among the computed polymorphs = 0.747 kcal/mol of atoms
Spin magnetization = 0.000 μB per cell
SG = No. 15
DOS at the Fermi energy = 1.064 states/eV per atom

- What is the formula in the third record?
  LaHgRu2

Please write out number 8 again, unchanged.
Here is a relaxed La5Hg2Ru2 crystal from the Alexandria database. Energies are from PBE.

```
La5Hg2Ru2
1.0
7.9619 0.0000 0.0000
0.0000 6.9826 -3.5895
0.0000 0.2794 9.1298
La Hg Ru
10 4 4
Direct
0.0000 0.0000 0.0000 La
0.5000 0.5000 0.0000 La
0.8322 0.7845 0.2342 La
0.1678 0.4496 0.2342 La
0.3322 0.9496 0.2342 La
0.6678 0.2845 0.2342 La
0.1678 0.2155 0.7658 La
0.8322 0.5504 0.7658 La
0.6678 0.0504 0.7658 La
0.3322 0.7155 0.7658 La
0.0000 0.2160 0.4321 Hg
0.5000 0.7160 0.4321 Hg
0.0000 0.7840 0.5679 Hg
0.5000 0.2840 0.5679 Hg
0.6387 0.8610 0.0000 Ru
0.3613 0.1390 0.0000 Ru
0.1387 0.6390 0.0000 Ru
0.8613 0.3610 0.0000 Ru
```

Summary:
Spin magnetization = 0.000 μB per cell
SG = No. 64
E_tot = -5.249 eV/atom
DOS at the Fermi energy = 0.835 states/eV per atom

- The lowest DOS at the Fermi energy belongs to which entry?
  number 6

- What is the DOS at the Fermi energy in the fourth record?
  1.850 states/eV per atom